The following is a DFT calculation (GGA-PBEsol) of an optimized crystal structure of CdReSi.

a b c (Å): 3.1570 3.1570 9.7055
angles (deg): 90.00 90.00 90.00
Space group I4mm (No. 107)
Symmetry-distinct sites (fractional):
Cd 0.0000 0.0000 0.0000 [2 per cell]
Re 0.0000 0.0000 0.3025 [2 per cell]
Si 0.0000 0.0000 0.7011 [2 per cell]

Computed properties:
The formation energy without anion corrections is 0.231 eV/atom. The calculation puts the total energy at -19.58 eV/f.u.

---

The following is a DFT calculation (GGA-PBEsol) of an optimized crystal structure of CdRe2Si.

a b c (Å): 3.0003 3.0003 6.8132
angles (deg): 90.00 90.00 90.00
Space group P4mm (No. 99)
Symmetry-distinct sites (fractional):
Cd 0.0000 0.0000 0.0000 [1 per cell]
Re 0.0000 0.0000 0.5266 [1 per cell]
Re 0.5000 0.5000 0.2868 [1 per cell]
Si 0.5000 0.5000 0.7184 [1 per cell]

Computed properties:
Its polymorph energy (0 for the lowest one) is 0 kJ/mol of formula units. The formation energy without anion corrections is 0.179 eV/atom. The calculation puts the total energy at -32.89 eV/f.u.

---

The following is a DFT calculation (GGA-PBEsol) of an optimized crystal structure of Sr2CdRe.

a b c (Å): 3.0442 5.2690 6.1063
angles (deg): 90.00 90.00 90.00
Space group Pmm2 (No. 25)
Symmetry-distinct sites (fractional):
Sr 0.0000 0.0000 0.0000 [1 per cell]
Sr 0.0000 0.5000 0.3572 [1 per cell]
Cd 0.5000 0.0000 0.5449 [1 per cell]
Re 0.5000 0.5000 0.8234 [1 per cell]

Computed properties:
The calculation puts the total energy at -15.36 eV/f.u. Its formation energy is 0.7121 eV per atom.

---

Q: Which formula does entry 1 have?
A: CdReSi